# 1
Below is a geometry-optimized Na2ICl structure, with properties calculated at the GGA-PBE level.

Values from the calculation:
The total magnetization comes out at 0.000 μB per cell. The calculation puts the density of states at the Fermi level at 0.00 states/eV/cell. As for the total energy: -2.98 eV per atom. As for the crystal system: tetragonal. The raw formation energy is -1.469 eV per atom. Its calculated volume is 149.2 Å³/f.u.

a b c (Å): 6.764 6.764 8.088
angles (deg): 65.28 65.28 90.00
Element x y z (fractional)
I 0.000 0.000 0.000
I 0.750 0.250 0.500
Na 0.577 0.125 0.250
Na 0.173 0.625 0.250
Na 0.375 0.423 0.750
Na 0.875 0.827 0.750
Cl 0.500 0.500 0.000
Cl 0.250 0.750 0.500



# 2
Below is a geometry-optimized Sm2AlSe structure, with properties calculated at the GGA-PBE level.

Values from the calculation:
The calculation puts the energy above the most stable polymorph in this dataset at 0.44 eV per formula unit. The total magnetization comes out at 0.000 μB per cell. The calculation puts the density of states at the Fermi level at 2.25 states/eV/cell. As for the total energy: -5.19 eV per atom. As for the crystal system: trigonal. The raw formation energy is -1.023 eV per atom. Its calculated volume is 108.6 Å³/f.u.

a b c (Å): 4.036 4.036 8.042
angles (deg): 75.47 75.47 60.00
Element x y z (fractional)
Se 0.500 0.500 0.500
Sm 0.754 0.754 0.737
Sm 0.246 0.246 0.263
Al 0.000 0.000 0.000